Density functional theory data (PBE-GGA) for a relaxed structure of Pr8As3Se4N.

Results
Magnetic moment   0.0 μB per cell
Energy relative to the elements, uncorrected   -1.640 eV/atom
Fermi-level density of states   6.17 states/eV/f.u.

Unit cell a=8.503 b=8.503 c=8.503 alpha=59.21 beta=59.21 gamma=59.21
Element x y z (fractional)
Pr 0.247 0.247 0.247
Pr 0.265 0.730 0.730
Pr 0.270 0.270 0.735
Pr 0.270 0.735 0.270
Pr 0.730 0.265 0.730
Pr 0.730 0.730 0.265
Pr 0.735 0.270 0.270
Pr 0.753 0.753 0.753
As 0.000 0.000 0.500
As 0.000 0.500 0.000
As 0.500 0.000 0.000
Se 0.000 0.000 0.000
Se 0.000 0.500 0.500
Se 0.500 0.000 0.500
Se 0.500 0.500 0.000
N 0.500 0.500 0.500

=====

Density functional theory data (PBE-GGA) for a relaxed structure of Pr4AsSe2N.

Results
Magnetic moment   0.0 μB per cell
Energy relative to the elements, uncorrected   -1.579 eV/atom
Fermi-level density of states   3.18 states/eV/f.u.

Unit cell a=7.133 b=4.092 c=7.322 alpha=90.00 beta=108.79 gamma=90.00
Element x y z (fractional)
Pr 0.218 0.000 0.213
Pr 0.232 0.500 0.778
Pr 0.768 0.500 0.222
Pr 0.782 0.000 0.787
As 0.500 0.000 0.000
Se 0.000 0.000 0.500
Se 0.500 0.500 0.500
N 0.000 0.500 0.000

=====

Density functional theory data (PBE-GGA) for a relaxed structure of Pr2Sm4As3N2.

Results
Magnetic moment   0.0 μB per cell
Energy relative to the elements, uncorrected   -1.247 eV/atom
Fermi-level density of states   5.44 states/eV/f.u.

Unit cell a=12.743 b=12.743 c=12.743 alpha=158.91 beta=158.91 gamma=30.00
Element x y z (fractional)
Pr 0.196 0.196 0.000
Pr 0.804 0.804 0.000
Sm 0.079 0.579 0.500
Sm 0.421 0.921 0.500
Sm 0.579 0.079 0.500
Sm 0.921 0.421 0.500
As 0.325 0.325 0.000
As 0.500 0.500 0.000
As 0.675 0.675 0.000
N 0.101 0.101 0.000
N 0.899 0.899 0.000

=====

Density functional theory data (PBE-GGA) for a relaxed structure of Pr3TeAsN.

Results
Magnetic moment   0.0 μB per cell
Energy relative to the elements, uncorrected   -1.358 eV/atom
Fermi-level density of states   2.73 states/eV/f.u.

Unit cell a=9.094 b=4.260 c=9.584 alpha=90.00 beta=100.52 gamma=90.00
Element x y z (fractional)
Pr 0.079 0.250 0.350
Pr 0.339 0.250 0.985
Pr 0.383 0.750 0.662
Pr 0.617 0.250 0.338
Pr 0.661 0.750 0.015
Pr 0.921 0.750 0.650
Te 0.326 0.750 0.286
Te 0.674 0.250 0.714
As 0.151 0.250 0.661
As 0.849 0.750 0.339
N 0.412 0.750 0.902
N 0.588 0.250 0.098

=====

Density functional theory data (PBE-GGA) for a relaxed structure of Pr4Te2AsN.

Results
Magnetic moment   0.0 μB per cell
Energy relative to the elements, uncorrected   -1.365 eV/atom
Fermi-level density of states   3.41 states/eV/f.u.

Unit cell a=7.257 b=4.175 c=7.700 alpha=90.00 beta=108.31 gamma=90.00
Element x y z (fractional)
Pr 0.213 0.000 0.199
Pr 0.235 0.500 0.796
Pr 0.765 0.500 0.204
Pr 0.787 0.000 0.801
Te 0.000 0.000 0.500
Te 0.500 0.500 0.500
As 0.500 0.000 0.000
N 0.000 0.500 0.000

=====

Density functional theory data (PBE-GGA) for a relaxed structure of PrThAsN.

Results
Magnetic moment   1.1 μB per cell
Energy relative to the elements, uncorrected   -1.144 eV/atom
Fermi-level density of states   1.99 states/eV/f.u.

Unit cell a=4.389 b=4.389 c=9.670 alpha=90.00 beta=90.00 gamma=90.00
Element x y z (fractional)
Pr 0.250 0.750 0.000
Pr 0.750 0.250 0.000
Th 0.250 0.250 0.395
Th 0.750 0.750 0.605
As 0.250 0.250 0.787
As 0.750 0.750 0.213
N 0.250 0.750 0.500
N 0.750 0.250 0.500